[1]
Entry from Alexandria via LeMat-Bulk: Cr2CdRu after structural relaxation (PBE).

```
data_Cr2CdRu
_symmetry_space_group_name_H-M 'P 1'
_symmetry_Int_Tables_number 1
_cell_length_a 6.964
_cell_length_b 6.964
_cell_length_c 5.595
_cell_angle_alpha 51.51
_cell_angle_beta 51.51
_cell_angle_gamma 90.00
loop_
_symmetry_equiv_pos_as_xyz
'x,y,z'
loop_
_atom_site_label
_atom_site_fract_x
_atom_site_fract_y
_atom_site_fract_z
Cd1 0.750 0.250 0.500
Cr1 0.573 0.125 0.250
Cr2 0.875 0.823 0.750
Cr3 0.375 0.427 0.750
Ru1 0.500 0.500 0.000
Cr4 0.177 0.625 0.250
Cd2 0.000 0.000 0.000
Ru2 0.250 0.750 0.500
```

- Energy: -0.2393 hartree per atom
- Formation energy from the elements: 847 meV per atom

***

[2]
Entry from Alexandria via LeMat-Bulk: Sc4AlPd5 after structural relaxation (PBE).

```
data_Sc4AlPd5
_symmetry_space_group_name_H-M 'P 1'
_symmetry_Int_Tables_number 1
_cell_length_a 3.249
_cell_length_b 3.249
_cell_length_c 16.516
_cell_angle_alpha 90.00
_cell_angle_beta 90.00
_cell_angle_gamma 90.00
loop_
_symmetry_equiv_pos_as_xyz
'x,y,z'
loop_
_atom_site_label
_atom_site_fract_x
_atom_site_fract_y
_atom_site_fract_z
Pd1 0.500 0.500 0.292
Pd2 0.500 0.500 0.500
Sc1 0.000 0.000 0.396
Al1 0.000 0.000 0.000
Pd3 0.500 0.500 0.913
Sc2 0.000 0.000 0.604
Sc3 0.000 0.000 0.811
Pd4 0.500 0.500 0.708
Sc4 0.000 0.000 0.189
Pd5 0.500 0.500 0.087
```

- Energy: -0.2350 hartree per atom
- Formation energy from the elements: -890 meV per atom

***

[3]
Entry from Alexandria via LeMat-Bulk: AsPRh after structural relaxation (PBE).

```
data_AsPRh
_symmetry_space_group_name_H-M 'P 1'
_symmetry_Int_Tables_number 1
_cell_length_a 3.327
_cell_length_b 3.327
_cell_length_c 5.033
_cell_angle_alpha 90.00
_cell_angle_beta 90.00
_cell_angle_gamma 120.00
loop_
_symmetry_equiv_pos_as_xyz
'x,y,z'
loop_
_atom_site_label
_atom_site_fract_x
_atom_site_fract_y
_atom_site_fract_z
Rh1 0.000 0.000 0.022
As1 0.667 0.333 0.674
P1 0.333 0.667 0.293
```

- Energy: -0.2203 hartree per atom
- Distance to the lowest polymorph of the same formula: 1.13 eV per formula unit
- Formation energy from the elements: -190 meV per atom

***

[4]
Entry from Alexandria via LeMat-Bulk: CuSI after structural relaxation (PBE).

```
data_CuSI
_symmetry_space_group_name_H-M 'P 1'
_symmetry_Int_Tables_number 1
_cell_length_a 5.803
_cell_length_b 3.843
_cell_length_c 6.818
_cell_angle_alpha 90.00
_cell_angle_beta 105.92
_cell_angle_gamma 90.00
loop_
_symmetry_equiv_pos_as_xyz
'x,y,z'
loop_
_atom_site_label
_atom_site_fract_x
_atom_site_fract_y
_atom_site_fract_z
Cu1 0.562 0.500 0.546
S1 0.498 0.500 0.861
S2 0.498 0.000 0.361
I1 0.012 0.500 0.811
I2 0.012 0.000 0.311
Cu2 0.562 0.000 0.046
```

- Energy: -0.1187 hartree per atom
- Distance to the lowest polymorph of the same formula: 0.33 eV per formula unit

***

[5]
Entry from Alexandria via LeMat-Bulk: Ca2Pr6Y after structural relaxation (PBE).

```
data_Ca2Pr6Y
_symmetry_space_group_name_H-M 'P 1'
_symmetry_Int_Tables_number 1
_cell_length_a 5.626
_cell_length_b 8.223
_cell_length_c 8.223
_cell_angle_alpha 65.24
_cell_angle_beta 90.00
_cell_angle_gamma 90.00
loop_
_symmetry_equiv_pos_as_xyz
'x,y,z'
loop_
_atom_site_label
_atom_site_fract_x
_atom_site_fract_y
_atom_site_fract_z
Ca1 0.500 0.212 0.212
Pr1 0.000 0.814 0.454
Pr2 0.000 0.546 0.186
Pr3 0.000 0.454 0.814
Pr4 0.000 0.186 0.546
Ca2 0.500 0.788 0.788
Pr5 0.500 0.726 0.274
Pr6 0.500 0.274 0.726
Y1 0.000 0.000 0.000
```

- Energy: -0.1499 hartree per atom
- Formation energy from the elements: 271 meV per atom

***

[6]
Entry from Alexandria via LeMat-Bulk: NaPu2NpTe4 after structural relaxation (PBE).

```
data_NaPu2NpTe4
_symmetry_space_group_name_H-M 'P 1'
_symmetry_Int_Tables_number 1
_cell_length_a 4.431
_cell_length_b 7.802
_cell_length_c 7.703
_cell_angle_alpha 109.14
_cell_angle_beta 90.00
_cell_angle_gamma 90.00
loop_
_symmetry_equiv_pos_as_xyz
'x,y,z'
loop_
_atom_site_label
_atom_site_fract_x
_atom_site_fract_y
_atom_site_fract_z
Te1 0.000 0.756 0.251
Te2 0.000 0.244 0.749
Te3 0.500 0.752 0.751
Pu1 0.500 0.000 0.500
Te4 0.500 0.248 0.249
Np1 0.000 0.000 0.000
Pu2 0.000 0.500 0.500
Na1 0.500 0.500 0.000
```

- Energy: -0.2882 hartree per atom

***

[7]
Entry from Alexandria via LeMat-Bulk: Ho3Cu4Pd2 after structural relaxation (PBE).

```
data_Ho3Cu4Pd2
_symmetry_space_group_name_H-M 'P 1'
_symmetry_Int_Tables_number 1
_cell_length_a 4.300
_cell_length_b 5.574
_cell_length_c 8.300
_cell_angle_alpha 110.74
_cell_angle_beta 90.00
_cell_angle_gamma 112.69
loop_
_symmetry_equiv_pos_as_xyz
'x,y,z'
loop_
_atom_site_label
_atom_site_fract_x
_atom_site_fract_y
_atom_site_fract_z
Cu1 0.950 0.900 0.609
Cu2 0.724 0.448 0.047
Pd1 0.610 0.221 0.272
Ho1 0.669 0.338 0.663
Cu3 0.050 0.100 0.391
Ho2 0.331 0.662 0.337
Ho3 0.000 0.000 0.000
Pd2 0.390 0.779 0.728
Cu4 0.276 0.552 0.953
```

- Energy: -0.1830 hartree per atom
- Formation energy from the elements: -479 meV per atom

***

[8]
Entry from Alexandria via LeMat-Bulk: Er7CuPb4 after structural relaxation (PBE).

```
data_Er7CuPb4
_symmetry_space_group_name_H-M 'P 1'
_symmetry_Int_Tables_number 1
_cell_length_a 5.293
_cell_length_b 9.143
_cell_length_c 8.322
_cell_angle_alpha 79.94
_cell_angle_beta 71.46
_cell_angle_gamma 73.17
loop_
_symmetry_equiv_pos_as_xyz
'x,y,z'
loop_
_atom_site_label
_atom_site_fract_x
_atom_site_fract_y
_atom_site_fract_z
Cu1 0.000 0.000 0.000
Er1 0.923 0.295 0.859
Pb1 0.280 0.343 0.098
Pb2 0.420 0.784 0.376
Er2 0.212 0.139 0.437
Er3 0.788 0.861 0.563
Er4 0.643 0.436 0.279
Pb3 0.720 0.657 0.902
Pb4 0.580 0.216 0.624
Er5 0.077 0.705 0.141
Er6 0.357 0.564 0.721
Er7 0.500 0.000 0.000
```

- Energy: -0.1616 hartree per atom
- Formation energy from the elements: -158 meV per atom

***

[9]
Entry from Alexandria via LeMat-Bulk: Tb6Cd5Au after structural relaxation (PBE).

```
data_Tb6Cd5Au
_symmetry_space_group_name_H-M 'P 1'
_symmetry_Int_Tables_number 1
_cell_length_a 5.265
_cell_length_b 7.486
_cell_length_c 8.333
_cell_angle_alpha 90.00
_cell_angle_beta 71.71
_cell_angle_gamma 90.00
loop_
_symmetry_equiv_pos_as_xyz
'x,y,z'
loop_
_atom_site_label
_atom_site_fract_x
_atom_site_fract_y
_atom_site_fract_z
Tb1 0.839 0.247 0.323
Au1 0.000 0.000 0.000
Cd1 0.670 0.500 0.660
Tb2 0.161 0.753 0.677
Tb3 0.839 0.753 0.323
Tb4 0.161 0.247 0.677
Cd2 0.674 0.000 0.651
Cd3 0.330 0.500 0.340
Cd4 0.000 0.500 0.000
Cd5 0.326 0.000 0.349
Tb5 0.500 0.240 0.000
Tb6 0.500 0.760 0.000
```

- Energy: -0.1238 hartree per atom
- Formation energy from the elements: -400 meV per atom

***

[10]
Entry from Alexandria via LeMat-Bulk: Be2ReBr after structural relaxation (PBE).

```
data_Be2ReBr
_symmetry_space_group_name_H-M 'P 1'
_symmetry_Int_Tables_number 1
_cell_length_a 7.274
_cell_length_b 7.274
_cell_length_c 7.274
_cell_angle_alpha 24.09
_cell_angle_beta 24.09
_cell_angle_gamma 24.09
loop_
_symmetry_equiv_pos_as_xyz
'x,y,z'
loop_
_atom_site_label
_atom_site_fract_x
_atom_site_fract_y
_atom_site_fract_z
Be1 0.495 0.495 0.495
Br1 0.250 0.250 0.250
Re1 0.750 0.750 0.750
Be2 0.005 0.005 0.005
```

- Energy: -0.1802 hartree per atom
- Distance to the lowest polymorph of the same formula: 0.43 eV per formula unit

***

[11]
Entry from Alexandria via LeMat-Bulk: SrGdPb2 after structural relaxation (PBE).

```
data_SrGdPb2
_symmetry_space_group_name_H-M 'P 1'
_symmetry_Int_Tables_number 1
_cell_length_a 3.651
_cell_length_b 3.651
_cell_length_c 9.342
_cell_angle_alpha 90.00
_cell_angle_beta 90.00
_cell_angle_gamma 90.00
loop_
_symmetry_equiv_pos_as_xyz
'x,y,z'
loop_
_atom_site_label
_atom_site_fract_x
_atom_site_fract_y
_atom_site_fract_z
Sr1 0.500 0.500 0.500
Gd1 0.500 0.500 0.000
Pb1 0.000 0.000 0.762
Pb2 0.000 0.000 0.238
```

- Energy: -0.2318 hartree per atom
- Distance to the lowest polymorph of the same formula: 0.00 eV per formula unit
- Formation energy from the elements: -514 meV per atom

***

[12]
Entry from Alexandria via LeMat-Bulk: MnZnH2 after structural relaxation (PBE).

```
data_MnZnH2
_symmetry_space_group_name_H-M 'P 1'
_symmetry_Int_Tables_number 1
_cell_length_a 3.614
_cell_length_b 3.614
_cell_length_c 3.614
_cell_angle_alpha 60.00
_cell_angle_beta 60.00
_cell_angle_gamma 60.00
loop_
_symmetry_equiv_pos_as_xyz
'x,y,z'
loop_
_atom_site_label
_atom_site_fract_x
_atom_site_fract_y
_atom_site_fract_z
Zn1 0.500 0.500 0.500
Mn1 0.000 0.000 0.000
H1 0.750 0.750 0.750
H2 0.250 0.250 0.250
```

- Energy: -0.1382 hartree per atom
- Distance to the lowest polymorph of the same formula: 1.81 eV per formula unit

***

[13]
Entry from Alexandria via LeMat-Bulk: Tl2Bi2Pd3 after structural relaxation (PBE).

```
data_Tl2Bi2Pd3
_symmetry_space_group_name_H-M 'P 1'
_symmetry_Int_Tables_number 1
_cell_length_a 3.649
_cell_length_b 7.435
_cell_length_c 6.430
_cell_angle_alpha 90.81
_cell_angle_beta 90.02
_cell_angle_gamma 104.46
loop_
_symmetry_equiv_pos_as_xyz
'x,y,z'
loop_
_atom_site_label
_atom_site_fract_x
_atom_site_fract_y
_atom_site_fract_z
Bi1 0.351 0.701 0.072
Pd1 0.250 0.499 0.674
Tl1 0.094 0.194 0.391
Pd2 0.750 0.501 0.326
Tl2 0.906 0.806 0.609
Bi2 0.649 0.299 0.928
Pd3 0.000 0.000 0.000
```

- Energy: -0.1534 hartree per atom
- Formation energy from the elements: -162 meV per atom

***

[14]
Entry from Alexandria via LeMat-Bulk: Sm2Zn3SnPt4 after structural relaxation (PBE).

```
data_Sm2Zn3SnPt4
_symmetry_space_group_name_H-M 'P 1'
_symmetry_Int_Tables_number 1
_cell_length_a 4.250
_cell_length_b 4.250
_cell_length_c 10.929
_cell_angle_alpha 90.00
_cell_angle_beta 90.00
_cell_angle_gamma 90.00
loop_
_symmetry_equiv_pos_as_xyz
'x,y,z'
loop_
_atom_site_label
_atom_site_fract_x
_atom_site_fract_y
_atom_site_fract_z
Sm1 0.500 0.000 0.236
Pt1 0.500 0.500 0.000
Sm2 0.000 0.500 0.764
Sn1 0.500 0.500 0.500
Pt2 0.000 0.000 0.000
Pt3 0.500 0.000 0.647
Zn1 0.000 0.500 0.128
Pt4 0.000 0.500 0.353
Zn2 0.000 0.000 0.500
Zn3 0.500 0.000 0.872
```

- Energy: -0.1805 hartree per atom
- Formation energy from the elements: -768 meV per atom

***

[15]
Entry from Alexandria via LeMat-Bulk: Co2Re after structural relaxation (PBE).

```
data_Co2Re
_symmetry_space_group_name_H-M 'P 1'
_symmetry_Int_Tables_number 1
_cell_length_a 3.922
_cell_length_b 3.922
_cell_length_c 3.922
_cell_angle_alpha 60.00
_cell_angle_beta 60.00
_cell_angle_gamma 60.00
loop_
_symmetry_equiv_pos_as_xyz
'x,y,z'
loop_
_atom_site_label
_atom_site_fract_x
_atom_site_fract_y
_atom_site_fract_z
Co1 0.750 0.750 0.750
Re1 0.000 0.000 0.000
Co2 0.250 0.250 0.250
```

- Energy: -0.3029 hartree per atom
- Distance to the lowest polymorph of the same formula: 2.08 eV per formula unit
- Formation energy from the elements: 645 meV per atom

***

[16]
Entry from Alexandria via LeMat-Bulk: AcDy2Sc after structural relaxation (PBE).

```
data_AcDy2Sc
_symmetry_space_group_name_H-M 'P 1'
_symmetry_Int_Tables_number 1
_cell_length_a 3.629
_cell_length_b 3.629
_cell_length_c 11.700
_cell_angle_alpha 81.08
_cell_angle_beta 81.08
_cell_angle_gamma 60.00
loop_
_symmetry_equiv_pos_as_xyz
'x,y,z'
loop_
_atom_site_label
_atom_site_fract_x
_atom_site_fract_y
_atom_site_fract_z
Dy1 0.257 0.257 0.229
Ac1 0.500 0.500 0.499
Sc1 0.666 0.666 0.001
Dy2 0.076 0.076 0.771
```

- Energy: -0.1766 hartree per atom
- Distance to the lowest polymorph of the same formula: 0.06 eV per formula unit
- Formation energy from the elements: 106 meV per atom

***

[17]
Entry from Alexandria via LeMat-Bulk: CeCuBiS4 after structural relaxation (PBE).

```
data_CeCuBiS4
_symmetry_space_group_name_H-M 'P 1'
_symmetry_Int_Tables_number 1
_cell_length_a 6.611
_cell_length_b 5.994
_cell_length_c 7.912
_cell_angle_alpha 90.00
_cell_angle_beta 107.02
_cell_angle_gamma 90.00
loop_
_symmetry_equiv_pos_as_xyz
'x,y,z'
loop_
_atom_site_label
_atom_site_fract_x
_atom_site_fract_y
_atom_site_fract_z
Bi1 0.725 0.750 0.960
S1 0.019 0.511 0.744
S2 0.981 0.011 0.256
Cu1 0.234 0.750 0.335
Ce1 0.243 0.250 0.551
Bi2 0.275 0.250 0.040
S3 0.019 0.989 0.744
Cu2 0.766 0.250 0.665
S4 0.420 0.750 0.119
S5 0.580 0.250 0.881
S6 0.560 0.250 0.386
Ce2 0.757 0.750 0.449
S7 0.440 0.750 0.614
S8 0.981 0.489 0.256
```

- Energy: -0.1905 hartree per atom

***

[18]
Entry from Alexandria via LeMat-Bulk: Na2BeGa2 after structural relaxation (PBE).

```
data_Na2BeGa2
_symmetry_space_group_name_H-M 'P 1'
_symmetry_Int_Tables_number 1
_cell_length_a 3.699
_cell_length_b 3.699
_cell_length_c 9.156
_cell_angle_alpha 78.35
_cell_angle_beta 78.35
_cell_angle_gamma 90.00
loop_
_symmetry_equiv_pos_as_xyz
'x,y,z'
loop_
_atom_site_label
_atom_site_fract_x
_atom_site_fract_y
_atom_site_fract_z
Be1 0.000 0.000 0.000
Na1 0.405 0.405 0.191
Ga1 0.750 0.250 0.500
Na2 0.595 0.595 0.809
Ga2 0.250 0.750 0.500
```

- Energy: -0.0747 hartree per atom
- Distance to the lowest polymorph of the same formula: 1.47 eV per formula unit
- Formation energy from the elements: 450 meV per atom

***

Number 1: M_tot 0.00 μB/f.u.. Number 2: M_tot 0.00 μB/f.u.. Number 3: M_tot 0.00 μB/f.u.. Number 4: M_tot 0.00 μB/f.u.. Number 5: M_tot 0.00 μB/f.u.. Number 6: M_tot 4.26 μB/f.u.. Number 7: M_tot 0.00 μB/f.u.. Number 8: M_tot 0.00 μB/f.u.. Number 9: M_tot 0.00 μB/f.u.. Number 10: M_tot 0.00 μB/f.u.. Number 11: M_tot 7.41 μB/f.u.. Number 12: M_tot 2.97 μB/f.u.. Number 13: M_tot 0.00 μB/f.u.. Number 14: M_tot 0.00 μB/f.u.. Number 15: M_tot 0.54 μB/f.u.. Number 16: M_tot 0.00 μB/f.u.. Number 17: M_tot 0.40 μB/f.u.. Number 18: M_tot 0.00 μB/f.u..